VASP calculation (PBE) on a geometry-optimized BaSiMo3 structure.

Summary:
The value obtained for the volume is 125.4 Å³ per cell. Its total DFT energy (no corrections) is -23.5 eV per cell. As for the crystal system: cubic. Its energy above the most stable polymorph in this dataset is 2.138 eV/atom.

Unit cell a=5.006 b=5.006 c=5.006 alpha=90.00 beta=90.00 gamma=90.00
Space group Pm-3m (No. 221)
Asymmetric unit:
Ba 0.000 0.000 0.000
Si 0.500 0.500 0.500
Mo 0.000 0.000 0.500

---

VASP calculation (PBE) on a geometry-optimized ReTe2Au structure.

Summary:
The value obtained for the volume is 183.8 Å³ per cell. Its total DFT energy (no corrections) is -39.8 eV per cell. As for the crystal system: orthorhombic. Its energy above the most stable polymorph in this dataset is 0.251 eV/atom.

Unit cell a=3.230 b=4.407 c=12.911 alpha=90.00 beta=90.00 gamma=90.00
Space group Imm2 (No. 44)
Asymmetric unit:
Re 0.000 0.000 0.000
Te 0.000 0.000 0.448
Te 0.000 0.500 0.664
Au 0.000 0.500 0.295

---

VASP calculation (PBE) on a geometry-optimized Tb6Dy3Ho2Pb structure.

Summary:
The value obtained for the volume is 742.1 Å³ per cell. Its total DFT energy (no corrections) is -110.1 eV per cell. As for the crystal system: monoclinic.

Unit cell a=6.102 b=10.579 c=11.678 alpha=90.00 beta=100.11 gamma=90.00
Space group C2/m (No. 12)
Asymmetric unit:
Tb 0.246 0.164 0.248
Tb 0.247 0.000 0.750
Dy 0.000 0.168 0.500
Dy 0.000 0.500 0.500
Ho 0.000 0.334 0.000
Pb 0.000 0.000 0.000